1.
A plane-wave DFT calculation with PBE was carried out for crystalline KMn2SnPb at its relaxed geometry.

extended XYZ file:
```
5
Lattice="-4.764 1.778 1.296 -2.439 -4.705 -2.508 0.279 -2.577 4.562" Properties=species:S:1:pos:R:3 pbc="T T T"
Sn -3.461 -2.752 1.675
Mn 0.140 -1.288 2.281
Mn -2.382 0.889 0.648
Pb -1.219 -2.352 -1.254
K 0.000 0.000 0.000
```

Computed properties:
symmetry = P4/mmm (123)
magnetization = 8.634 μB/cell
formation energy = 1.675 eV/atom

---

2.
A plane-wave DFT calculation with PBE was carried out for crystalline KTi2MnPb at its relaxed geometry.

extended XYZ file:
```
5
Lattice="-3.860 -2.578 0.502 1.705 -1.525 5.277 -2.232 3.690 1.788" Properties=species:S:1:pos:R:3 pbc="T T T"
K 0.853 -0.763 2.638
Mn 0.000 0.000 0.000
Ti -1.116 1.845 0.894
Ti -1.930 -1.289 0.251
Pb -2.193 -0.206 3.783
```

Computed properties:
symmetry = P4/mmm (123)
magnetization = 0.277 μB/cell
formation energy = 0.868 eV/atom

---

3.
A plane-wave DFT calculation with PBE was carried out for crystalline KTiMnPb2 at its relaxed geometry.

extended XYZ file:
```
5
Lattice="5.367 0.000 0.000 0.000 4.579 0.000 0.000 0.000 5.367" Properties=species:S:1:pos:R:3 pbc="T T T"
Pb 2.684 0.000 0.000
Pb 0.000 0.000 2.684
Ti 0.000 2.289 0.000
Mn 0.000 0.000 0.000
K 2.684 2.289 2.684
```

Computed properties:
symmetry = P4/mmm (123)
magnetization = 0.771 μB/cell
formation energy = 0.375 eV/atom

---

4.
A plane-wave DFT calculation with PBE was carried out for crystalline KTi2MnPb at its relaxed geometry.

extended XYZ file:
```
5
Lattice="-4.890 -0.728 1.774 -0.549 -4.756 -3.466 1.855 -3.032 3.868" Properties=species:S:1:pos:R:3 pbc="T T T"
Mn -1.793 -4.258 1.088
Pb 0.000 0.000 0.000
Ti 0.927 -1.516 1.934
Ti -2.445 -0.364 0.887
K -0.275 -2.378 -1.733
```

Computed properties:
symmetry = P4/mmm (123)
magnetization = 1.661 μB/cell
formation energy = 1.945 eV/atom